Record 1
## KCa2InTe (GGA-PBEsol)

Data for a relaxed KCa2InTe crystal.

Output
formation energy from raw total energies	0.66	eV per atom
total moment	0.0	Bohr magnetons per cell
crystal system	tetragonal
DOS at the Fermi energy	5.59	states/eV/cell
total DFT energy (no corrections)	-1.72	eV per atom

a = 6.0905 Å, b = 6.0905 Å, c = 5.5468 Å
α = 90.00°, β = 90.00°, γ = 90.00°
Sites, in units of the cell vectors:
K: 0.0000 0.0000 0.0000
Ca: 0.0000 0.5000 0.0000
Ca: 0.5000 0.0000 0.0000
In: 0.0000 0.0000 0.5000
Te: 0.5000 0.5000 0.5000

Record 2
## LaAgMo2O8 (GGA-PBEsol)

Data for a relaxed LaAgMo2O8 crystal.

Output
formation energy from raw total energies	-2.16	eV per atom
total moment	0.0	Bohr magnetons per cell
crystal system	tetragonal
DOS at the Fermi energy	0.00	states/eV/cell
total DFT energy (no corrections)	-8.34	eV per atom

a = 6.8464 Å, b = 6.8464 Å, c = 6.8464 Å
α = 134.21°, β = 134.21°, γ = 66.76°
Sites, in units of the cell vectors:
La: 0.0000 0.0000 0.0000
Ag: 0.7500 0.2500 0.5000
Mo: 0.2500 0.7500 0.5000
Mo: 0.5000 0.5000 0.0000
O: 0.0176 0.8966 0.5893
O: 0.1034 0.6927 0.1210
O: 0.1784 0.2661 0.6113
O: 0.3073 0.4283 0.4107
O: 0.4329 0.8216 0.0876
O: 0.5717 0.9824 0.8790
O: 0.6548 0.5671 0.3887
O: 0.7339 0.3452 0.9124

Record 3
## In2CuTe (GGA-PBEsol)

Data for a relaxed In2CuTe crystal.

Output
formation energy from raw total energies	0.27	eV per atom
total moment	0.0	Bohr magnetons per cell
crystal system	cubic
DOS at the Fermi energy	2.03	states/eV/cell
total DFT energy (no corrections)	-3.19	eV per atom

a = 5.0801 Å, b = 5.0801 Å, c = 5.0801 Å
α = 60.00°, β = 60.00°, γ = 60.00°
Sites, in units of the cell vectors:
In: 0.0000 0.0000 0.0000
In: 0.2500 0.2500 0.2500
Cu: 0.7500 0.7500 0.7500
Te: 0.5000 0.5000 0.5000